Material: Ta2AlAu
Method: DFT, PBE
State: relaxed

The structure in extended XYZ format:
```
4
Lattice="-0.9292 2.7294 0.2212 -0.7500 -0.0282 -2.7927 -7.4568 -2.7030 2.0300" Properties=species:S:1:pos:R:3 pbc="T T T"
Au -6.4322 -0.6767 0.2367
Al -2.7038 0.6748 -0.7783
Ta -0.0905 -0.0328 0.0246
Ta -3.6379 -1.3187 0.9904
```

## Properties
For the density of states at the Fermi level, the calculation gives 1.88 states/eV/f.u. The value obtained for the calculated formation energy is -0.159 eV per atom.